A plane-wave DFT calculation with PBE with a Hubbard U was carried out for a geometry-optimized Li2Mg2MoO6 structure.

The structure in POSCAR format:
```
Li2Mg2MoO6
1.0
4.9881 0.0000 0.0000
-2.4941 4.3198 0.0000
0.0000 0.0000 4.8434
Li Mg Mo O
2 2 1 6
direct
0.3333 0.6667 0.0000
0.6667 0.3333 0.0000
0.3333 0.6667 0.5000
0.6667 0.3333 0.5000
0.0000 0.0000 0.0000
0.0000 0.3225 0.2344
0.0000 0.6775 0.7656
0.3225 0.0000 0.2344
0.3225 0.3225 0.7656
0.6775 0.0000 0.7656
0.6775 0.6775 0.2344
```

VASP energy   -66.75 eV per cell